LaSnMo2, relaxed, DFT GGA-PBE; total DFT energy (no corrections) = -53.75 eV/cell; DOS at the Fermi energy = 1.2707 states/eV per atom; total magnetization = 0.000 μB per atom; formation enthalpy at 0 K = 0.93 eV per atom
1.0
-3.961 3.961 2.980
3.961 -3.961 2.980
3.961 3.961 -2.980
La Sn Mo
2 2 4
Cartesian
0.000 0.000 0.000
0.000 3.961 1.490
3.961 0.000 1.490
0.000 0.000 2.980
1.980 2.292 -0.745
5.630 1.980 0.745
1.980 1.669 2.235
-1.669 1.980 3.725